Density functional theory data (PBE) for a relaxed structure of DyH12Rh5.

Values from the calculation:
Total DFT energy (no corrections)   -84.1 eV for the cell shown
Spin magnetization   0.00 μB/f.u.
D(E_F)   0.2876 states/eV/atom

```
DyH12Rh5
1.0
3.7511 0.0000 0.0000
-0.0240 5.7585 0.0000
-1.7854 -1.4956 6.6001
Dy H Rh
1 12 5
Cartesian
0.0000 0.0000 0.0000
-0.9543 2.3859 5.5577
-0.9395 0.3849 5.5567
-0.0860 1.3726 3.0386
0.0310 4.3316 2.9779
1.0356 2.8705 1.5725
0.1572 4.2954 5.2339
1.7844 -0.0324 1.3663
0.9060 1.3924 5.0276
1.9106 -0.0687 3.6222
2.0277 2.8903 3.5615
2.8811 3.8781 1.0434
2.8959 1.8770 1.0424
0.0471 2.8674 4.2601
0.0793 -0.0436 4.2253
1.8635 2.8793 0.0000
1.8624 4.3065 2.3748
1.8945 1.3955 2.3400
```